Entry 1:
The following is a PBE calculation of a relaxed structure of Tl2SiIr, from Alexandria.

Cell and atoms, written as extended XYZ:
```
8
Lattice="9.928 0.000 0.000 0.000 9.928 0.000 4.964 4.964 2.265" Properties=species:S:1:pos:R:3 pbc="T T T"
Tl 8.817 2.482 0.566
Tl 11.040 7.446 0.566
Tl 7.446 6.076 1.698
Tl 12.410 3.852 1.698
Ir 0.000 0.000 0.000
Ir 9.928 4.964 1.132
Si 4.964 4.964 0.000
Si 4.964 9.928 1.132
```

Properties
- D(E_F): 0.84 states/eV per atom
- Energy: -4.534 eV/atom
- Energy relative to the elements, uncorrected: 0.220 eV per atom
- Space-group type: I-42d



Entry 2:
The following is a PBE calculation of a relaxed structure of TlSi2Ir, from Alexandria.

Cell and atoms, written as extended XYZ:
```
4
Lattice="3.053 0.040 0.000 -0.043 3.053 0.000 0.000 0.000 7.907" Properties=species:S:1:pos:R:3 pbc="T T T"
Ir 1.505 1.547 5.931
Si 0.000 0.000 7.383
Si 0.000 0.000 4.478
Tl 1.505 1.547 1.977
```

Properties
- D(E_F): 0.76 states/eV per atom
- Energy: -5.424 eV/atom
- Energy relative to the elements, uncorrected: 0.094 eV per atom
- Space-group type: P4/mmm
- Relative energy among the computed polymorphs: 160.0 meV/atom



Entry 3:
The following is a PBE calculation of a relaxed structure of TlSi2Ir, from Alexandria.

Cell and atoms, written as extended XYZ:
```
4
Lattice="4.119 0.000 0.000 0.000 4.720 -0.015 0.000 1.354 4.317" Properties=species:S:1:pos:R:3 pbc="T T T"
Ir 2.060 4.555 3.226
Si 0.000 5.766 3.528
Si 0.000 3.345 2.925
Tl 2.060 1.518 1.075
```

Properties
- D(E_F): 0.57 states/eV per atom
- Energy: -5.402 eV/atom
- Energy relative to the elements, uncorrected: 0.116 eV per atom
- Space-group type: P2/m
- Relative energy among the computed polymorphs: 181.9 meV/atom